No. 1
Below is an optimized crystal structure of GdCuAu4, with properties calculated at the PBE level.

a b c (Å): 7.8146 7.8146 7.8146
angles (deg): 90.00 90.00 90.00
Space group F-43m (No. 216)
Inequivalent atoms, fractional coordinates:
Gd: 0.0000 0.0000 0.0000
Cu: 0.2500 0.2500 0.2500
Au: 0.1245 0.1245 0.6245

Output
Energy of formation from the pure elements ... -0.291 eV per atom

=====

No. 2
Below is an optimized crystal structure of GdCuHgAu, with properties calculated at the PBE level.

a b c (Å): 6.9072 6.9072 6.9072
angles (deg): 90.00 90.00 90.00
Space group F-43m (No. 216)
Inequivalent atoms, fractional coordinates:
Gd: 0.0000 0.0000 0.0000
Cu: 0.2500 0.2500 0.2500
Hg: 0.0000 0.0000 0.5000
Au: 0.2500 0.2500 0.7500

Output
Energy of formation from the pure elements ... -0.365 eV per atom

=====

No. 3
Below is an optimized crystal structure of LaGdCuAu, with properties calculated at the PBE level.

a b c (Å): 7.3260 7.3260 7.3260
angles (deg): 90.00 90.00 90.00
Space group F-43m (No. 216)
Inequivalent atoms, fractional coordinates:
La: 0.0000 0.0000 0.0000
Gd: 0.0000 0.0000 0.5000
Cu: 0.2500 0.2500 0.2500
Au: 0.2500 0.2500 0.7500

Output
Energy of formation from the pure elements ... -0.472 eV per atom

=====

No. 4
Below is an optimized crystal structure of GdLuCuAu, with properties calculated at the PBE level.

a b c (Å): 7.0607 7.0607 7.0607
angles (deg): 90.00 90.00 90.00
Space group F-43m (No. 216)
Inequivalent atoms, fractional coordinates:
Gd: 0.0000 0.0000 0.0000
Lu: 0.0000 0.0000 0.5000
Cu: 0.2500 0.2500 0.7500
Au: 0.2500 0.2500 0.2500

Output
Energy of formation from the pure elements ... -0.544 eV per atom

=====

No. 5
Below is an optimized crystal structure of GdMgCuAu, with properties calculated at the PBE level.

a b c (Å): 6.8758 6.8758 6.8758
angles (deg): 90.00 90.00 90.00
Space group F-43m (No. 216)
Inequivalent atoms, fractional coordinates:
Gd: 0.0000 0.0000 0.0000
Mg: 0.0000 0.0000 0.5000
Cu: 0.2500 0.2500 0.2500
Au: 0.2500 0.2500 0.7500

Output
Energy of formation from the pure elements ... -0.464 eV per atom

=====

No. 6
Below is an optimized crystal structure of NdGdCuAu, with properties calculated at the PBE level.

a b c (Å): 7.2538 7.2538 7.2538
angles (deg): 90.00 90.00 90.00
Space group F-43m (No. 216)
Inequivalent atoms, fractional coordinates:
Nd: 0.0000 0.0000 0.0000
Gd: 0.0000 0.0000 0.5000
Cu: 0.2500 0.2500 0.2500
Au: 0.2500 0.2500 0.7500

Output
Energy of formation from the pure elements ... -0.478 eV per atom

=====

No. 7
Below is an optimized crystal structure of GdPaCuAu, with properties calculated at the PBE level.

a b c (Å): 7.1229 7.1229 7.1229
angles (deg): 90.00 90.00 90.00
Space group F-43m (No. 216)
Inequivalent atoms, fractional coordinates:
Gd: 0.0000 0.0000 0.0000
Pa: 0.0000 0.0000 0.5000
Cu: 0.2500 0.2500 0.2500
Au: 0.2500 0.2500 0.7500

Output
Energy of formation from the pure elements ... -0.163 eV per atom

=====

No. 8
Below is an optimized crystal structure of GdCuPbAu, with properties calculated at the PBE level.

a b c (Å): 7.0469 7.0469 7.0469
angles (deg): 90.00 90.00 90.00
Space group F-43m (No. 216)
Inequivalent atoms, fractional coordinates:
Gd: 0.0000 0.0000 0.0000
Cu: 0.2500 0.2500 0.2500
Pb: 0.0000 0.0000 0.5000
Au: 0.2500 0.2500 0.7500

Output
Energy of formation from the pure elements ... -0.372 eV per atom

=====

No. 9
Below is an optimized crystal structure of GdCuPdAu, with properties calculated at the PBE level.

a b c (Å): 6.6847 6.6847 6.6847
angles (deg): 90.00 90.00 90.00
Space group F-43m (No. 216)
Inequivalent atoms, fractional coordinates:
Gd: 0.0000 0.0000 0.0000
Cu: 0.2500 0.2500 0.2500
Pd: 0.2500 0.2500 0.7500
Au: 0.0000 0.0000 0.5000

Output
Energy of formation from the pure elements ... -0.489 eV per atom

=====

No. 10
Below is an optimized crystal structure of PmGdCuAu, with properties calculated at the PBE level.

a b c (Å): 7.2266 7.2266 7.2266
angles (deg): 90.00 90.00 90.00
Space group F-43m (No. 216)
Inequivalent atoms, fractional coordinates:
Pm: 0.0000 0.0000 0.0000
Gd: 0.0000 0.0000 0.5000
Cu: 0.2500 0.2500 0.2500
Au: 0.2500 0.2500 0.7500

Output
Energy of formation from the pure elements ... -0.490 eV per atom

=====

No. 11
Below is an optimized crystal structure of GdCuPtAu, with properties calculated at the PBE level.

a b c (Å): 6.7011 6.7011 6.7011
angles (deg): 90.00 90.00 90.00
Space group F-43m (No. 216)
Inequivalent atoms, fractional coordinates:
Gd: 0.0000 0.0000 0.0000
Cu: 0.2500 0.2500 0.7500
Pt: 0.2500 0.2500 0.2500
Au: 0.0000 0.0000 0.5000

Output
Energy of formation from the pure elements ... -0.535 eV per atom

=====

No. 12
Below is an optimized crystal structure of GdPuCuAu, with properties calculated at the PBE level.

a b c (Å): 7.1793 7.1793 7.1793
angles (deg): 90.00 90.00 90.00
Space group F-43m (No. 216)
Inequivalent atoms, fractional coordinates:
Gd: 0.0000 0.0000 0.0000
Pu: 0.0000 0.0000 0.5000
Cu: 0.2500 0.2500 0.7500
Au: 0.2500 0.2500 0.2500

Output
Energy of formation from the pure elements ... -0.285 eV per atom

=====

| no. | E_tot (eV/atom) |
| --- | --- |
| 1 | -5.5055 |
| 2 | -5.8042 |
| 3 | -7.0679 |
| 4 | -7.0378 |
| 5 | -6.2266 |
| 6 | -7.0333 |
| 7 | -7.9010 |
| 8 | -6.6628 |
| 9 | -7.1510 |
| 10 | -7.0417 |
| 11 | -7.4087 |
| 12 | -9.2316 |